{"formula": "HfNiAu2F", "functional": "GGA+U", "state": "relaxed", "lattice_angstrom": [[5.0440, 0.0000, 0.0000], [0.0000, 5.0440, 0.0000], [0.0000, 0.0000, 3.5679]], "species": ["Hf", "Ni", "Au", "Au", "F"], "frac_coords": [[0.0000, 0.0000, 0.0000], [0.5000, 0.5000, 0.0000], [0.0000, 0.5000, 0.5000], [0.5000, 0.0000, 0.5000], [0.5000, 0.5000, 0.5000]], "dft_energy_ev_per_atom": -4.139}